CaCd4Ag7 PBE relaxed; crystal system = monoclinic; total magnetic moment = 0.0 μB/cell; volume = 258.2 Å³/f.u.; D(E_F) = 3.22 states/eV/cell; space group = C2/m (12); energy of formation = 0.012 eV/atom
1.0
-5.2084 -0.7035 -0.0101
-1.6595 -7.2641 -5.6821
-2.1608 -3.6965 4.2920
Cd Ca Ag
4 1 7
direct
0.5907 0.2240 0.5945
0.2752 0.3167 0.1330
0.4093 0.7760 0.4055
0.7248 0.6833 0.8670
0.0000 0.0000 0.0000
0.5000 0.0000 0.0000
0.2150 0.0900 0.4799
0.3491 0.5407 0.7612
0.9580 0.3771 0.7070
0.0420 0.6229 0.2930
0.6509 0.4593 0.2388
0.7850 0.9100 0.5201

LaCrTc2 PBE relaxed; crystal system = cubic; total magnetic moment = 0.0 μB/cell; volume = 67.8 Å³/f.u.; D(E_F) = 1.99 states/eV/cell; space group = F-43m (216); ΔE to the lowest computed polymorph = 214 meV per atom; energy of formation = 0.513 eV/atom
1.0
4.5768 0.0000 0.0000
2.2884 3.9636 0.0000
2.2884 1.3212 3.7369
Tc Cr La
2 1 1
direct
0.7500 0.7500 0.7500
0.0000 0.0000 0.0000
0.5000 0.5000 0.5000
0.2500 0.2500 0.2500

Ba2ReSn2 PBE relaxed; crystal system = tetragonal; total magnetic moment = 0.0 μB/cell; volume = 149.2 Å³/f.u.; D(E_F) = 8.70 states/eV/cell; space group = I4/mmm (139); ΔE to the lowest computed polymorph = 986 meV per atom; energy of formation = 1.169 eV/atom
1.0
-2.5628 -0.6031 3.4825
3.5330 -0.3185 2.5447
0.3104 7.2710 4.2240
Ba Sn Re
2 2 1
direct
0.7500 0.2500 0.5000
0.2500 0.7500 0.5000
0.4157 0.4157 0.1685
0.5843 0.5843 0.8315
0.0000 0.0000 0.0000

BaCeAl4 PBE relaxed; crystal system = cubic; total magnetic moment = 0.8 μB/cell; volume = 139.0 Å³/f.u.; D(E_F) = 8.21 states/eV/cell; space group = F-43m (216); energy of formation = -0.257 eV/atom
1.0
-0.0486 -3.9819 -4.2368
4.7423 -3.2007 -1.0361
0.0347 -5.6603 1.3295
Al Ba Ce
4 1 1
direct
0.1216 0.6261 0.6261
0.6261 0.6261 0.6261
0.6261 0.6261 0.1216
0.6261 0.1216 0.6261
0.2500 0.2500 0.2500
0.0000 0.0000 0.0000

LaNd2DyTm2 PBE relaxed; crystal system = orthorhombic; total magnetic moment = 0.0 μB/cell; volume = 202.5 Å³/f.u.; D(E_F) = 18.35 states/eV/cell; space group = Pnnm (58); energy of formation = 0.153 eV/atom
1.0
-2.1133 2.8240 0.2576
-7.6105 -4.4377 -13.7825
-4.5713 -3.7616 3.7354
Nd Tm Dy La
4 4 2 2
direct
0.5000 0.1622 0.7461
0.5000 0.8378 0.2539
0.0000 0.6622 0.7539
0.0000 0.3378 0.2461
0.0000 0.3474 0.7487
0.0000 0.6526 0.2513
0.5000 0.1526 0.2487
0.5000 0.8474 0.7513
0.0000 0.0000 0.5000
0.5000 0.5000 0.0000
0.0000 0.0000 0.0000
0.5000 0.5000 0.5000

BaNaSb2Pb PBE relaxed; E_form (uncorrected) = -0.45 eV per atom; crystal system = monoclinic; total magnetic moment = 0.0 μB/cell; volume = 200.9 Å³/f.u.; D(E_F) = 5.24 states/eV/cell; space group = C2/m (12)
1.0
-1.4039 -4.2892 -2.2426
5.9832 -6.1073 2.2729
-5.2351 -4.7634 6.7254
Pb Na Sb Ba
2 2 4 2
direct
0.9607 0.8958 0.1828
0.0393 0.1042 0.8172
0.3522 0.3678 0.9277
0.6478 0.6322 0.0723
0.4214 0.7944 0.3628
0.5786 0.2056 0.6372
0.8166 0.2561 0.1107
0.1834 0.7439 0.8893
0.7928 0.7837 0.6307
0.2072 0.2163 0.3693

CuBPbCl2 PBE relaxed; E_form (uncorrected) = 0.94 eV per atom; crystal system = tetragonal; total magnetic moment = 0.2 μB/cell; volume = 148.8 Å³/f.u.; D(E_F) = 4.58 states/eV/cell; space group = P4/mmm (123)
1.0
-4.0765 -3.3489 1.6229
1.4014 -3.3082 -3.3064
3.3674 -2.2947 3.7232
Cl Cu Pb B
2 1 1 1
direct
0.0000 0.0000 0.5000
0.5000 0.0000 0.0000
0.5000 0.5000 0.5000
0.0000 0.0000 0.0000
0.0000 0.5000 0.0000

Li3CdRu PBE relaxed; crystal system = cubic; total magnetic moment = 1.0 μB/cell; volume = 104.0 Å³/f.u.; D(E_F) = 2.43 states/eV/cell; space group = Pm-3m (221); ΔE to the lowest computed polymorph = 0 meV per atom; energy of formation = 0.678 eV/atom
1.0
-4.1116 0.5598 2.2127
-1.9892 -3.1143 -2.9084
1.1191 -3.4789 2.9597
Cd Ru Li
1 1 3
direct
0.5000 0.5000 0.5000
0.0000 0.0000 0.0000
0.0000 0.5000 0.0000
0.0000 0.0000 0.5000
0.5000 0.0000 0.0000